(1)
Computed, not measured: a geometry-optimized BSbSeI2 structure at the PBE level of DFT.

Computed properties:
* SG: No. 123
* relative energy among the computed polymorphs: 0.000 eV/atom
* ΔE_f (raw): 83.8 kJ per mole of atoms

a b c (Å): 4.8505 4.8505 5.3798
angles (deg): 90.00 90.00 90.00
Last column: nearest neighbours and their distance in Å.
Fractional positions:
1 B 0.0000 0.0000 0.0000  4 I 2.43, 2 Sb 2.69
2 Sb 0.0000 0.0000 0.5000  2 B 2.69
3 Se 0.5000 0.5000 0.5000  4 Sb 3.43, 8 I 3.62
4 I 0.0000 0.5000 0.0000  2 B 2.43
5 I 0.5000 0.0000 0.0000  2 B 2.43

---

(2)
Computed, not measured: a geometry-optimized BiPb2W structure at the PBE level of DFT.

Computed properties:
* electronic total energy: -4.795 eV/atom
* SG: No. 122

a b c (Å): 6.5219 6.5219 14.1980
angles (deg): 90.00 90.00 90.00
Last column: nearest neighbours and their distance in Å.
Fractional positions:
1 Bi 0.0000 0.0000 0.0000  4 Pb 3.12
2 Bi 0.0000 0.5000 0.2500  4 Pb 3.12
3 Bi 0.5000 0.0000 0.7500  4 Pb 3.12
4 Bi 0.5000 0.5000 0.5000  4 Pb 3.12
5 Pb 0.1969 0.2500 0.6250  2 W 2.73
6 Pb 0.2500 0.6969 0.8750  2 W 2.73
7 Pb 0.2500 0.8031 0.3750  2 W 2.73
8 Pb 0.3031 0.2500 0.1250  2 W 2.73
9 Pb 0.6969 0.7500 0.1250  2 W 2.73
10 Pb 0.7500 0.1969 0.3750  2 W 2.73
11 Pb 0.7500 0.3031 0.8750  2 W 2.73
12 Pb 0.8031 0.7500 0.6250  2 W 2.73
13 W 0.0000 0.0000 0.5000  4 Pb 2.73
14 W 0.0000 0.5000 0.7500  4 Pb 2.73
15 W 0.5000 0.0000 0.2500  4 Pb 2.73
16 W 0.5000 0.5000 0.0000  4 Pb 2.73

---

(3)
Computed, not measured: a geometry-optimized K2TlTe structure at the PBE level of DFT.

Computed properties:
* SG: No. 160
* relative energy among the computed polymorphs: 0.118 eV/atom
* ΔE_f (raw): -44.7 kJ per mole of atoms

a b c (Å): 5.0063 5.0063 28.5208
angles (deg): 90.00 90.00 120.00
Last column: nearest neighbours and their distance in Å.
Fractional positions:
1 K 0.0000 0.0000 0.0000  3 Tl 3.61
2 K 0.0000 0.0000 0.1922  3 Te 3.46
3 K 0.3333 0.6667 0.6667  3 Tl 3.61
4 K 0.3333 0.6667 0.8588  3 Te 3.46
5 K 0.6667 0.3333 0.3333  3 Tl 3.61
6 K 0.6667 0.3333 0.5255  3 Te 3.46
7 Tl 0.0000 0.0000 0.7427  3 Te 3.21
8 Tl 0.3333 0.6667 0.4094  3 Te 3.21
9 Tl 0.6667 0.3333 0.0761  3 Te 3.21
10 Te 0.0000 0.0000 0.4585  3 Tl 3.21, 3 K 3.46
11 Te 0.3333 0.6667 0.1252  3 Tl 3.21, 3 K 3.46
12 Te 0.6667 0.3333 0.7918  3 Tl 3.21, 3 K 3.46

---

(4)
Computed, not measured: a geometry-optimized LaRh2Au structure at the PBE level of DFT.

Computed properties:
* electronic total energy: -5.929 eV/atom
* SG: No. 122

a b c (Å): 4.2937 4.2937 18.6778
angles (deg): 90.00 90.00 90.00
Last column: nearest neighbours and their distance in Å.
Fractional positions:
1 La 0.0000 0.0000 0.0000  4 Rh 2.90, 4 Au 3.04
2 La 0.0000 0.5000 0.2500  4 Rh 2.90, 4 Au 3.04
3 La 0.5000 0.0000 0.7500  4 Rh 2.90, 4 Au 3.04
4 La 0.5000 0.5000 0.5000  4 Rh 2.90, 4 Au 3.04
5 Rh 0.1855 0.2500 0.6250  2 Rh 2.67, 2 Au 2.69, 2 La 2.90
6 Rh 0.2500 0.6855 0.8750  2 Rh 2.67, 2 Au 2.69, 2 La 2.90
7 Rh 0.2500 0.8145 0.3750  2 Rh 2.67, 2 Au 2.69, 2 La 2.90
8 Rh 0.3145 0.2500 0.1250  2 Rh 2.67, 2 Au 2.69, 2 La 2.90
9 Rh 0.6855 0.7500 0.1250  2 Rh 2.67, 2 Au 2.69, 2 La 2.90
10 Rh 0.7500 0.1855 0.3750  2 Rh 2.67, 2 Au 2.69, 2 La 2.90
11 Rh 0.7500 0.3145 0.8750  2 Rh 2.67, 2 Au 2.69, 2 La 2.90
12 Rh 0.8145 0.7500 0.6250  2 Rh 2.67, 2 Au 2.69, 2 La 2.90
13 Au 0.0000 0.0000 0.5000  4 Rh 2.69
14 Au 0.0000 0.5000 0.7500  4 Rh 2.69
15 Au 0.5000 0.0000 0.2500  4 Rh 2.69
16 Au 0.5000 0.5000 0.0000  4 Rh 2.69

---

(5)
Computed, not measured: a geometry-optimized Tm2TlZn structure at the PBE level of DFT.

Computed properties:
* electronic total energy: -3.450 eV/atom
* SG: No. 225

a b c (Å): 7.2958 7.2958 7.2958
angles (deg): 90.00 90.00 90.00
Last column: nearest neighbours and their distance in Å.
Fractional positions:
1 Tm 0.2500 0.2500 0.2500  4 Zn 3.16, 4 Tl 3.16
2 Tm 0.2500 0.2500 0.7500  4 Tl 3.16, 4 Zn 3.16
3 Tm 0.2500 0.7500 0.2500  4 Tl 3.16, 4 Zn 3.16
4 Tm 0.2500 0.7500 0.7500  4 Zn 3.16, 4 Tl 3.16
5 Tm 0.7500 0.2500 0.2500  4 Tl 3.16, 4 Zn 3.16
6 Tm 0.7500 0.2500 0.7500  4 Zn 3.16, 4 Tl 3.16
7 Tm 0.7500 0.7500 0.2500  4 Zn 3.16, 4 Tl 3.16
8 Tm 0.7500 0.7500 0.7500  4 Tl 3.16, 4 Zn 3.16
9 Tl 0.0000 0.0000 0.0000  8 Tm 3.16
10 Tl 0.0000 0.5000 0.5000  8 Tm 3.16
11 Tl 0.5000 0.0000 0.5000  8 Tm 3.16
12 Tl 0.5000 0.5000 0.0000  8 Tm 3.16
13 Zn 0.0000 0.0000 0.5000  8 Tm 3.16
14 Zn 0.0000 0.5000 0.0000  8 Tm 3.16
15 Zn 0.5000 0.0000 0.0000  8 Tm 3.16
16 Zn 0.5000 0.5000 0.5000  8 Tm 3.16

---

(6)
Computed, not measured: a geometry-optimized Tb5Tm12In2 structure at the PBE level of DFT.

Computed properties:
* electronic total energy: -4.337 eV/atom
* SG: No. 12

a b c (Å): 8.9086 8.9086 8.2053
angles (deg): 91.25 91.25 62.19
Last column: nearest neighbours and their distance in Å.
Fractional positions:
1 Tb 0.0000 0.0000 0.0000  10 Tm 3.37-3.64, 2 Tb 3.62
2 Tb 0.2344 0.2344 0.0779  8 Tm 3.31-3.50, 2 Tb 3.55-3.62
3 Tb 0.3077 0.3077 0.4920  2 In 3.37, 8 Tm 3.40-3.62, 1 Tb 3.55
4 Tb 0.6923 0.6923 0.5080  2 In 3.37, 8 Tm 3.40-3.62, 1 Tb 3.55
5 Tb 0.7656 0.7656 0.9221  8 Tm 3.31-3.50, 2 Tb 3.55-3.62
6 Tm 0.0361 0.6671 0.2626  1 In 3.20, 4 Tm 3.33-3.52, 2 Tb 3.50-3.53
7 Tm 0.0835 0.0835 0.3839  5 Tm 3.22-3.48, 2 In 3.35, 3 Tb 3.37-3.51
8 Tm 0.1789 0.5691 0.8365  5 Tm 3.28-3.59, 4 Tb 3.34-3.64, 1 In 3.41
9 Tm 0.3329 0.9639 0.7374  1 In 3.20, 4 Tm 3.33-3.52, 2 Tb 3.50-3.53
10 Tm 0.4309 0.8211 0.1635  5 Tm 3.28-3.59, 4 Tb 3.34-3.64, 1 In 3.41
11 Tm 0.4466 0.4466 0.1747  2 In 3.23, 7 Tm 3.28-3.46, 2 Tb 3.31-3.40
12 Tm 0.5534 0.5534 0.8253  2 In 3.23, 7 Tm 3.28-3.46, 2 Tb 3.31-3.40
13 Tm 0.5691 0.1789 0.8365  5 Tm 3.28-3.59, 4 Tb 3.34-3.64, 1 In 3.41
14 Tm 0.6671 0.0361 0.2626  1 In 3.20, 4 Tm 3.33-3.52, 2 Tb 3.50-3.53
15 Tm 0.8211 0.4309 0.1635  5 Tm 3.28-3.59, 4 Tb 3.34-3.64, 1 In 3.41
16 Tm 0.9165 0.9165 0.6161  5 Tm 3.22-3.48, 2 In 3.35, 3 Tb 3.37-3.51
17 Tm 0.9639 0.3329 0.7374  1 In 3.20, 4 Tm 3.33-3.52, 2 Tb 3.50-3.53
18 In 0.3189 0.6811 0.5000  8 Tm 3.20-3.41, 1 In 3.33, 2 Tb 3.37
19 In 0.6811 0.3189 0.5000  8 Tm 3.20-3.41, 1 In 3.33, 2 Tb 3.37

---

Number 1: density 6.10 g cm⁻³. Number 2: density 8.88 g cm⁻³. Number 3: density 3.30 g cm⁻³. Number 4: density 10.45 g cm⁻³. Number 5: density 10.39 g cm⁻³. Number 6: density 8.80 g cm⁻³.